(1)
An optimized crystal structure of Mg2TaHg. Source: Alexandria, functional PBE.

a b c (Å): 5.480 5.480 2.915
angles (deg): 90.00 90.00 113.43
Fractional positions:
Mg 0.000 0.000 0.000
Mg 0.500 0.500 0.000
Hg 0.000 0.500 0.500
Ta 0.500 0.000 0.500

=====

(2)
An optimized crystal structure of MgTaHg. Source: Alexandria, functional PBE.

Calculated values
- excess energy over the best structure of this formula in the dataset (meV/atom) = 67

a b c (Å): 3.033 3.033 7.520
angles (deg): 90.00 90.00 120.00
Fractional positions:
Hg 0.000 0.000 0.001
Mg 0.333 0.667 0.334
Ta 0.667 0.333 0.665

=====

| no. | energy of formation (eV per formula unit) |
| --- | --- |
| 1 | 0.85 |
| 2 | 0.83 |